Entry 1:
First-principles (PBE-GGA) data for a geometry-optimized HfPbCl structure, as listed in the Alexandria database.

Lattice parameters (Å, degrees): 6.091 10.083 8.916 89.95 70.03 72.42
Atoms (fractional coordinates):
Hf1 0.071 0.833 0.199
Hf2 0.713 0.113 0.084
Hf3 0.089 0.613 0.584
Hf4 0.797 0.333 0.370
Hf5 0.501 0.833 0.870
Hf6 0.898 0.333 0.699
Cl1 0.628 0.966 0.320
Cl2 0.506 0.671 0.080
Cl3 0.143 0.836 0.458
Cl4 0.086 0.466 0.820
Cl5 0.743 0.171 0.580
Cl6 0.562 0.336 0.958
Pb1 0.955 0.570 0.249
Pb2 0.202 0.100 0.110
Pb3 0.588 0.600 0.610
Pb4 0.304 0.329 0.379
Pb5 0.988 0.829 0.879
Pb6 0.226 0.070 0.749

Values from the calculation:
Symmetry = Cc, No. 9
Volume = 27.08 A^3/atom
Mass density = 8.608 g/cm³
Energy relative to the elements, uncorrected = -507 meV per atom
DFT total energy = -0.209 hartree per atom
DOS(E_F) = 0.49 states/eV/atom

=====

Entry 2:
First-principles (PBE-GGA) data for a geometry-optimized ZnCu2Si2 structure, as listed in the Alexandria database.

Lattice parameters (Å, degrees): 7.654 7.654 2.459 90.00 90.00 90.00
Atoms (fractional coordinates):
Zn1 0.000 0.000 0.000
Zn2 0.500 0.500 0.000
Si1 0.137 0.637 0.500
Si2 0.637 0.863 0.500
Si3 0.863 0.363 0.500
Si4 0.363 0.137 0.500
Cu1 0.341 0.841 0.000
Cu2 0.841 0.659 0.000
Cu3 0.659 0.159 0.000
Cu4 0.159 0.341 0.000

Values from the calculation:
Symmetry = P4/mbm, No. 127
Volume = 14.40 A^3/atom
Mass density = 5.734 g/cm³
Energy relative to the elements, uncorrected = 193 meV per atom
DFT total energy = -0.142 hartree per atom
DOS(E_F) = 0.36 states/eV/atom

=====

Entry 3:
First-principles (PBE-GGA) data for a geometry-optimized LiPr3Er2Te6 structure, as listed in the Alexandria database.

Lattice parameters (Å, degrees): 4.397 8.883 9.919 103.89 102.80 90.00
Atoms (fractional coordinates):
Li1 0.500 0.000 0.000
Pr1 0.500 0.500 0.000
Pr2 0.835 0.172 0.670
Pr3 0.165 0.828 0.330
Er1 0.835 0.665 0.670
Er2 0.165 0.335 0.330
Te1 0.339 0.909 0.677
Te2 0.671 0.574 0.341
Te3 0.661 0.091 0.323
Te4 0.004 0.234 0.008
Te5 0.996 0.766 0.992
Te6 0.329 0.426 0.659

Values from the calculation:
Symmetry = C2/m, No. 12
Volume = 30.51 A^3/atom
Mass density = 6.939 g/cm³
Energy relative to the elements, uncorrected = -1347 meV per atom
DFT total energy = -0.185 hartree per atom
DOS(E_F) = 0.38 states/eV/atom

=====

Entry 4:
First-principles (PBE-GGA) data for a geometry-optimized AlFeIrRh structure, as listed in the Alexandria database.

Lattice parameters (Å, degrees): 4.261 4.261 4.261 60.00 60.00 60.00
Atoms (fractional coordinates):
Ir1 0.000 0.000 0.000
Rh1 0.500 0.500 0.500
Fe1 0.750 0.750 0.750
Al1 0.250 0.250 0.250

Values from the calculation:
Symmetry = F-43m, No. 216
Volume = 13.67 A^3/atom
Mass density = 11.475 g/cm³
DFT total energy = -0.281 hartree per atom
DOS(E_F) = 0.57 states/eV/atom

=====

Entry 5:
First-principles (PBE-GGA) data for a geometry-optimized HfNb2GaH structure, as listed in the Alexandria database.

Lattice parameters (Å, degrees): 4.022 4.022 4.713 90.00 90.00 90.00
Atoms (fractional coordinates):
H1 0.000 0.000 0.000
Nb1 0.000 0.500 0.000
Nb2 0.500 0.000 0.000
Hf1 0.500 0.500 0.500
Ga1 0.000 0.000 0.500

Values from the calculation:
Symmetry = P4/mmm, No. 123
Volume = 15.25 A^3/atom
Mass density = 9.476 g/cm³
DFT total energy = -0.275 hartree per atom
DOS(E_F) = 0.42 states/eV/atom

=====

Entry 6:
First-principles (PBE-GGA) data for a geometry-optimized LiBe3Au3 structure, as listed in the Alexandria database.

Lattice parameters (Å, degrees): 6.374 6.374 6.374 90.00 90.00 90.00
Atoms (fractional coordinates):
Be1 0.000 0.250 0.500
Be2 0.000 0.750 0.500
Be3 0.500 0.000 0.750
Be4 0.750 0.500 0.000
Be5 0.500 0.000 0.250
Be6 0.250 0.500 0.000
Au1 0.250 0.000 0.500
Au2 0.000 0.500 0.250
Au3 0.500 0.750 0.000
Au4 0.750 0.000 0.500
Au5 0.000 0.500 0.750
Au6 0.500 0.250 0.000
Li1 0.500 0.500 0.500
Li2 0.000 0.000 0.000

Values from the calculation:
Symmetry = Pm-3n, No. 223
Volume = 18.50 A^3/atom
Mass density = 8.013 g/cm³
DFT total energy = -0.116 hartree per atom
DOS(E_F) = 0.50 states/eV/atom

=====

Entry 7:
First-principles (PBE-GGA) data for a geometry-optimized LiTiN2 structure, as listed in the Alexandria database.

Lattice parameters (Å, degrees): 3.621 3.621 3.621 60.00 60.00 60.00
Atoms (fractional coordinates):
N1 0.250 0.250 0.250
N2 0.750 0.750 0.750
Li1 0.000 0.000 0.000
Ti1 0.500 0.500 0.500

Values from the calculation:
Symmetry = Fm-3m, No. 225
Volume = 8.39 A^3/atom
Mass density = 4.096 g/cm³
Energy relative to the elements, uncorrected = -329 meV per atom
DFT total energy = -0.255 hartree per atom
DOS(E_F) = 0.60 states/eV/atom

=====

Entry 8:
First-principles (PBE-GGA) data for a geometry-optimized VCdOs structure, as listed in the Alexandria database.

Lattice parameters (Å, degrees): 6.977 2.895 4.999 90.00 103.58 90.00
Atoms (fractional coordinates):
V1 0.886 0.000 0.894
V2 0.886 0.500 0.394
Os1 0.153 0.000 0.319
Os2 0.153 0.500 0.819
Cd1 0.523 0.000 0.108
Cd2 0.523 0.500 0.608

Values from the calculation:
Symmetry = Cm, No. 8
Volume = 16.36 A^3/atom
Mass density = 11.966 g/cm³
DFT total energy = -0.252 hartree per atom
DOS(E_F) = 1.09 states/eV/atom

=====

Entry 9:
First-principles (PBE-GGA) data for a geometry-optimized YSc2Pd9 structure, as listed in the Alexandria database.

Lattice parameters (Å, degrees): 4.058 4.058 12.116 90.00 90.00 90.00
Atoms (fractional coordinates):
Y1 0.000 0.000 0.000
Sc1 0.000 0.000 0.338
Sc2 0.000 0.000 0.662
Pd1 0.500 0.500 0.000
Pd2 0.500 0.500 0.337
Pd3 0.500 0.500 0.663
Pd4 0.500 0.000 0.175
Pd5 0.500 0.000 0.500
Pd6 0.500 0.000 0.825
Pd7 0.000 0.500 0.175
Pd8 0.000 0.500 0.500
Pd9 0.000 0.500 0.825

Values from the calculation:
Symmetry = P4/mmm, No. 123
Volume = 16.63 A^3/atom
Mass density = 9.459 g/cm³
DFT total energy = -0.232 hartree per atom
DOS(E_F) = 0.88 states/eV/atom

=====

Entry 10:
First-principles (PBE-GGA) data for a geometry-optimized LiSO4 structure, as listed in the Alexandria database.

Lattice parameters (Å, degrees): 4.600 4.600 8.179 90.00 90.00 90.00
Atoms (fractional coordinates):
Li1 0.000 0.000 0.000
Li2 0.000 0.000 0.500
S1 0.000 0.500 0.250
S2 0.500 0.000 0.750
O1 0.308 0.178 0.856
O2 0.692 0.822 0.856
O3 0.178 0.308 0.356
O4 0.308 0.822 0.644
O5 0.692 0.178 0.644
O6 0.178 0.692 0.144
O7 0.822 0.308 0.144
O8 0.822 0.692 0.356

Values from the calculation:
Symmetry = P-42c, No. 112
Volume = 14.42 A^3/atom
Mass density = 1.976 g/cm³
Energy relative to the elements, uncorrected = -1339 meV per atom
DFT total energy = -0.208 hartree per atom
DOS(E_F) = 0.87 states/eV/atom

=====

Entry 11:
First-principles (PBE-GGA) data for a geometry-optimized ReAg2Os structure, as listed in the Alexandria database.

Lattice parameters (Å, degrees): 9.648 9.648 9.648 16.66 16.66 16.66
Atoms (fractional coordinates):
Re1 0.756 0.756 0.756
Os1 0.494 0.494 0.494
Ag1 0.002 0.002 0.002
Ag2 0.248 0.248 0.248

Values from the calculation:
Symmetry = R3m, No. 160
Volume = 16.10 A^3/atom
Mass density = 15.272 g/cm³
DFT total energy = -0.260 hartree per atom
DOS(E_F) = 1.07 states/eV/atom

=====

Entry 12:
First-principles (PBE-GGA) data for a geometry-optimized SrYIrO6 structure, as listed in the Alexandria database.

Lattice parameters (Å, degrees): 5.602 5.602 10.351 90.00 90.00 120.00
Atoms (fractional coordinates):
Sr1 0.000 0.000 0.000
Sr2 0.000 0.000 0.500
Y1 0.333 0.667 0.250
Y2 0.667 0.333 0.750
Ir1 0.667 0.333 0.250
Ir2 0.333 0.667 0.750
O1 0.656 0.611 0.144
O2 0.955 0.344 0.144
O3 0.344 0.955 0.644
O4 0.045 0.656 0.856
O5 0.389 0.344 0.356
O6 0.955 0.611 0.356
O7 0.611 0.955 0.856
O8 0.656 0.045 0.356
O9 0.045 0.389 0.644
O10 0.389 0.045 0.144
O11 0.611 0.656 0.644
O12 0.344 0.389 0.856

Values from the calculation:
Symmetry = P-31c, No. 163
Volume = 15.63 A^3/atom
Mass density = 5.486 g/cm³
Energy relative to the elements, uncorrected = -1896 meV per atom
DFT total energy = -0.261 hartree per atom
DOS(E_F) = 0.59 states/eV/atom

=====

Entry 13:
First-principles (PBE-GGA) data for a geometry-optimized ScSeS structure, as listed in the Alexandria database.

Lattice parameters (Å, degrees): 6.288 3.820 11.615 90.00 102.52 90.00
Atoms (fractional coordinates):
Sc1 0.123 0.000 0.784
Sc2 0.123 0.500 0.284
Sc3 0.568 0.000 0.068
Sc4 0.568 0.500 0.568
S1 0.975 0.000 0.150
S2 0.975 0.500 0.650
S3 0.513 0.000 0.716
S4 0.513 0.500 0.216
Se1 0.300 0.000 0.447
Se2 0.300 0.500 0.947
Se3 0.772 0.000 0.887
Se4 0.772 0.500 0.387

Values from the calculation:
Symmetry = Cm, No. 8
Volume = 22.70 A^3/atom
Mass density = 3.804 g/cm³
Energy relative to the elements, uncorrected = -1372 meV per atom
DFT total energy = -0.221 hartree per atom
DOS(E_F) = 0.02 states/eV/atom

=====

Entry 14:
First-principles (PBE-GGA) data for a geometry-optimized CoNiSbTe2 structure, as listed in the Alexandria database.

Lattice parameters (Å, degrees): 5.065 5.065 4.698 90.00 90.00 90.00
Atoms (fractional coordinates):
Sb1 0.000 0.000 0.500
Te1 0.000 0.500 0.000
Te2 0.500 0.000 0.000
Co1 0.000 0.000 0.000
Ni1 0.500 0.500 0.500

Values from the calculation:
Symmetry = P4/mmm, No. 123
Volume = 24.11 A^3/atom
Mass density = 6.814 g/cm³
Energy relative to the elements, uncorrected = 717 meV per atom
DFT total energy = -0.145 hartree per atom
DOS(E_F) = 1.05 states/eV/atom

=====

Entry 15:
First-principles (PBE-GGA) data for a geometry-optimized TbTmTh2N4 structure, as listed in the Alexandria database.

Lattice parameters (Å, degrees): 3.569 6.179 6.154 109.53 90.00 90.00
Atoms (fractional coordinates):
Tb1 0.000 0.000 0.000
Tm1 0.500 0.500 0.000
Th1 0.500 0.000 0.500
Th2 0.000 0.500 0.500
N1 0.500 0.252 0.245
N2 0.500 0.748 0.755
N3 0.000 0.257 0.758
N4 0.000 0.743 0.242

Values from the calculation:
Symmetry = P2/m, No. 10
Volume = 15.99 A^3/atom
Mass density = 11.008 g/cm³
Energy relative to the elements, uncorrected = -1626 meV per atom
DFT total energy = -0.323 hartree per atom
DOS(E_F) = 0.32 states/eV/atom

=====

Entry 16:
First-principles (PBE-GGA) data for a geometry-optimized CdNi2W2 structure, as listed in the Alexandria database.

Lattice parameters (Å, degrees): 7.373 7.373 2.738 90.00 90.00 90.00
Atoms (fractional coordinates):
Ni1 0.378 0.878 0.000
Ni2 0.878 0.622 0.000
Ni3 0.622 0.122 0.000
Ni4 0.122 0.378 0.000
W1 0.169 0.669 0.500
W2 0.669 0.831 0.500
W3 0.831 0.331 0.500
W4 0.331 0.169 0.500
Cd1 0.000 0.000 0.000
Cd2 0.500 0.500 0.000

Values from the calculation:
Symmetry = P4/mbm, No. 127
Volume = 14.89 A^3/atom
Mass density = 13.328 g/cm³
DFT total energy = -0.269 hartree per atom
DOS(E_F) = 0.85 states/eV/atom

=====

Entry 17:
First-principles (PBE-GGA) data for a geometry-optimized CeSmInRu structure, as listed in the Alexandria database.

Lattice parameters (Å, degrees): 5.169 5.169 5.169 60.00 60.00 60.00
Atoms (fractional coordinates):
Ru1 0.750 0.750 0.750
Ce1 0.500 0.500 0.500
Sm1 0.000 0.000 0.000
In1 0.250 0.250 0.250

Values from the calculation:
Symmetry = F-43m, No. 216
Volume = 24.42 A^3/atom
Mass density = 8.609 g/cm³
DFT total energy = -0.215 hartree per atom
DOS(E_F) = 1.57 states/eV/atom

=====

Entry 18:
First-principles (PBE-GGA) data for a geometry-optimized Er2Al8Au structure, as listed in the Alexandria database.

Lattice parameters (Å, degrees): 4.302 4.302 11.281 90.00 90.00 90.00
Atoms (fractional coordinates):
Er1 0.000 0.000 0.317
Er2 0.000 0.000 0.683
Al1 0.000 0.500 0.500
Al2 0.500 0.000 0.500
Al3 0.500 0.500 0.307
Al4 0.500 0.500 0.693
Al5 0.000 0.500 0.133
Al6 0.500 0.000 0.133
Al7 0.000 0.500 0.867
Al8 0.500 0.000 0.867
Au1 0.000 0.000 0.000

Values from the calculation:
Symmetry = P4/mmm, No. 123
Volume = 18.98 A^3/atom
Mass density = 5.945 g/cm³
DFT total energy = -0.155 hartree per atom
DOS(E_F) = 0.38 states/eV/atom

=====

Entry 19:
First-principles (PBE-GGA) data for a geometry-optimized SrCoTe2 structure, as listed in the Alexandria database.

Lattice parameters (Å, degrees): 4.187 4.187 7.423 73.69 73.69 60.03
Atoms (fractional coordinates):
Co1 0.750 0.750 0.750
Sr1 0.250 0.250 0.250
Te1 0.023 0.023 0.930
Te2 0.477 0.477 0.570

Values from the calculation:
Symmetry = C2/m, No. 12
Volume = 26.65 A^3/atom
Mass density = 6.257 g/cm³
Energy relative to the elements, uncorrected = -546 meV per atom
DFT total energy = -0.159 hartree per atom
DOS(E_F) = 0.84 states/eV/atom

=====

Entry 20:
First-principles (PBE-GGA) data for a geometry-optimized SrMg2BRh2 structure, as listed in the Alexandria database.

Lattice parameters (Å, degrees): 4.249 4.249 6.299 90.00 90.00 90.00
Atoms (fractional coordinates):
Sr1 0.000 0.000 0.500
Mg1 0.500 0.500 0.752
Mg2 0.500 0.500 0.248
B1 0.000 0.000 0.000
Rh1 0.500 0.000 0.000
Rh2 0.000 0.500 0.000

Values from the calculation:
Symmetry = P4/mmm, No. 123
Volume = 18.96 A^3/atom
Mass density = 5.152 g/cm³
DFT total energy = -0.176 hartree per atom
DOS(E_F) = 0.37 states/eV/atom

=====

Entry 21:
First-principles (PBE-GGA) data for a geometry-optimized Mo2P structure, as listed in the Alexandria database.

Lattice parameters (Å, degrees): 4.050 5.926 7.330 90.00 90.00 90.00
Atoms (fractional coordinates):
P1 0.250 0.723 0.375
P2 0.750 0.777 0.875
P3 0.250 0.223 0.125
P4 0.750 0.277 0.625
Mo1 0.250 0.010 0.825
Mo2 0.750 0.490 0.325
Mo3 0.250 0.510 0.675
Mo4 0.750 0.990 0.175
Mo5 0.250 0.128 0.449
Mo6 0.750 0.372 0.949
Mo7 0.250 0.628 0.051
Mo8 0.750 0.872 0.551

Values from the calculation:
Symmetry = Pnma, No. 62
Volume = 14.66 A^3/atom
Mass density = 8.415 g/cm³
DFT total energy = -0.343 hartree per atom
DOS(E_F) = 0.81 states/eV/atom

=====

Entry 22:
First-principles (PBE-GGA) data for a geometry-optimized BaCeCu10 structure, as listed in the Alexandria database.

Lattice parameters (Å, degrees): 4.029 5.326 9.175 90.00 90.00 90.00
Atoms (fractional coordinates):
Ba1 0.000 0.500 0.500
Ce1 0.000 0.000 0.000
Cu1 0.000 0.000 0.322
Cu2 0.000 0.500 0.842
Cu3 0.000 0.500 0.158
Cu4 0.000 0.000 0.678
Cu5 0.500 0.000 0.500
Cu6 0.500 0.500 0.000
Cu7 0.500 0.241 0.235
Cu8 0.500 0.759 0.765
Cu9 0.500 0.759 0.235
Cu10 0.500 0.241 0.765

Values from the calculation:
Symmetry = Pmmm, No. 47
Volume = 16.41 A^3/atom
Mass density = 7.700 g/cm³
DFT total energy = -0.151 hartree per atom
DOS(E_F) = 0.92 states/eV/atom

=====

Entry 23:
First-principles (PBE-GGA) data for a geometry-optimized YFe2NiC structure, as listed in the Alexandria database.

Lattice parameters (Å, degrees): 3.926 3.926 3.984 90.00 90.00 90.00
Atoms (fractional coordinates):
Y1 0.500 0.500 0.500
Ni1 0.000 0.000 0.500
C1 0.000 0.000 0.000
Fe1 0.000 0.500 0.000
Fe2 0.500 0.000 0.000

Values from the calculation:
Symmetry = P4/mmm, No. 123
Volume = 12.28 A^3/atom
Mass density = 7.336 g/cm³
DFT total energy = -0.284 hartree per atom
DOS(E_F) = 0.68 states/eV/atom

=====

Entry 24:
First-principles (PBE-GGA) data for a geometry-optimized KFeTc structure, as listed in the Alexandria database.

Lattice parameters (Å, degrees): 2.875 2.875 7.778 90.00 90.00 120.00
Atoms (fractional coordinates):
Fe1 0.000 0.000 0.952
K1 0.667 0.333 0.329
Tc1 0.333 0.667 0.719

Values from the calculation:
Symmetry = P3m1, No. 156
Volume = 18.56 A^3/atom
Mass density = 5.753 g/cm³
DFT total energy = -0.207 hartree per atom
DOS(E_F) = 1.29 states/eV/atom